MnHgF5: optimized geometry, PBE+U.

Unit cell a=3.878 b=5.749 c=5.749 alpha=73.99 beta=70.30 gamma=70.30
Last column: magnetic moment on the atom in μB.
Fractional positions:
Mn (0.000, 0.000, 0.000)  3.87
Hg (0.500, 0.500, 0.500)  0.00
F (0.777, 0.223, 0.223)  -0.01
F (0.000, 0.302, 0.698)  0.01
F (0.500, 0.000, 0.000)  0.02
F (0.000, 0.698, 0.302)  0.01
F (0.223, 0.777, 0.777)  -0.01

Values from the calculation:
VASP energy   -4.4350 eV per atom
D(E_F)   0.469 states/eV per cell